[1]
This record from Alexandria describes a relaxed structure of TePdF2. The functional is PBE. Values from VASP.

Cell and atoms, written as Quantum ESPRESSO input:
```
&SYSTEM
  ibrav = 0, nat = 4, ntyp = 3
/
ATOMIC_SPECIES
Pd 106.42 Pd.upf
F 19.00 F.upf
Te 127.60 Te.upf
CELL_PARAMETERS angstrom
-4.320 0.284 0.600
-2.570 1.391 -3.249
-2.676 -2.802 -2.022
ATOMIC_POSITIONS crystal
Pd 0.000 0.000 0.000
F 0.750 0.750 0.750
F 0.250 0.250 0.250
Te 0.500 0.500 0.500
```

***

[2]
This record from Alexandria describes a relaxed structure of TePdF2. The functional is PBE. Values from VASP.

Cell and atoms, written as Quantum ESPRESSO input:
```
&SYSTEM
  ibrav = 0, nat = 4, ntyp = 3
/
ATOMIC_SPECIES
Te 127.60 Te.upf
F 19.00 F.upf
Pd 106.42 Pd.upf
CELL_PARAMETERS angstrom
1.826 0.000 8.196
-0.913 1.581 8.196
-0.913 -1.581 8.196
ATOMIC_POSITIONS crystal
Te 0.000 0.000 0.000
F 0.085 0.085 0.085
F 0.915 0.915 0.915
Pd 0.500 0.500 0.500
```

***

[3]
This record from Alexandria describes a relaxed structure of TePd3F. The functional is PBE. Values from VASP.

Cell and atoms, written as Quantum ESPRESSO input:
```
&SYSTEM
  ibrav = 0, nat = 5, ntyp = 3
/
ATOMIC_SPECIES
Pd 106.42 Pd.upf
F 19.00 F.upf
Te 127.60 Te.upf
CELL_PARAMETERS angstrom
-3.502 -2.301 2.726
3.254 -0.495 3.762
-1.462 4.411 1.845
ATOMIC_POSITIONS crystal
Pd 0.000 0.500 0.000
Pd 0.000 0.000 0.500
Pd 0.500 0.000 0.000
F 0.500 0.500 0.500
Te 0.000 0.000 0.000
```

***

[4]
This record from Alexandria describes a relaxed structure of Te2PdF. The functional is PBE. Values from VASP.

Cell and atoms, written as Quantum ESPRESSO input:
```
&SYSTEM
  ibrav = 0, nat = 4, ntyp = 3
/
ATOMIC_SPECIES
F 19.00 F.upf
Pd 106.42 Pd.upf
Te 127.60 Te.upf
CELL_PARAMETERS angstrom
1.819 0.000 9.497
-0.909 1.575 9.497
-0.909 -1.575 9.497
ATOMIC_POSITIONS crystal
F 0.500 0.500 0.500
Pd 0.000 0.000 0.000
Te 0.908 0.908 0.908
Te 0.092 0.092 0.092
```

***

[5]
This record from Alexandria describes a relaxed structure of TePdF. The functional is PBE. Values from VASP.

Cell and atoms, written as Quantum ESPRESSO input:
```
&SYSTEM
  ibrav = 0, nat = 6, ntyp = 3
/
ATOMIC_SPECIES
F 19.00 F.upf
Pd 106.42 Pd.upf
Te 127.60 Te.upf
CELL_PARAMETERS angstrom
4.496 0.057 -1.073
-0.051 4.062 0.006
-1.789 -0.039 6.944
ATOMIC_POSITIONS crystal
F 0.182 0.570 0.927
F 0.455 0.075 0.662
Pd 0.090 0.572 0.194
Pd 0.546 0.073 0.395
Te 0.676 0.072 0.082
Te 0.961 0.573 0.506
```

***

[6]
This record from Alexandria describes a relaxed structure of Te3PdF. The functional is PBE. Values from VASP.

Cell and atoms, written as Quantum ESPRESSO input:
```
&SYSTEM
  ibrav = 0, nat = 5, ntyp = 3
/
ATOMIC_SPECIES
Te 127.60 Te.upf
F 19.00 F.upf
Pd 106.42 Pd.upf
CELL_PARAMETERS angstrom
4.905 0.000 0.000
0.000 4.905 0.000
0.000 0.000 4.905
ATOMIC_POSITIONS crystal
Te 0.500 0.000 0.000
Te 0.000 0.500 0.000
Te 0.000 0.000 0.500
F 0.000 0.000 0.000
Pd 0.500 0.500 0.500
```

***

| no. | E_tot (eV per atom) | mass density (g/cm³) |
| --- | --- | --- |
| 1 | -3.56 | 7.65 |
| 2 | -3.69 | 6.36 |
| 3 | -3.83 | 6.19 |
| 4 | -3.64 | 7.74 |
| 5 | -4.24 | 7.06 |
| 6 | -3.01 | 7.15 |